No. 1
The following is a PBE calculation of a relaxed V6TcMo2 crystal, from Alexandria.

Calculated values
- Symmetry: No. 2
- Formation enthalpy at 0 K: -0.1174 eV/atom
- Magnetization: 0.0 μB/f.u.
- Energy above the most stable polymorph in this dataset: 0.00 kcal/mol of atoms
- E_tot: -87.80 eV per cell

a = 2.666 Å, b = 2.686 Å, c = 18.983 Å
α = 92.69°, β = 92.49°, γ = 110.52°
Atoms (fractional coordinates):
1 V 0.054 0.054 0.110
2 V 0.277 0.277 0.554
3 V 0.392 0.392 0.782
4 V 0.608 0.608 0.218
5 V 0.723 0.723 0.446
6 V 0.946 0.946 0.890
7 Tc 0.500 0.500 0.000
8 Mo 0.165 0.165 0.332
9 Mo 0.835 0.835 0.668

***

No. 2
The following is a PBE calculation of a relaxed MgTcBr crystal, from Alexandria.

Calculated values
- Symmetry: No. 156
- E_form (uncorrected): 0.966 eV per formula unit
- Magnetization: 0.9 μB/f.u.
- Energy above the most stable polymorph in this dataset: 0.00 kcal/mol of atoms
- E_tot: -12.67 eV per cell

a = 3.205 Å, b = 3.205 Å, c = 6.422 Å
α = 90.00°, β = 90.00°, γ = 120.00°
Atoms (fractional coordinates):
1 Mg 0.000 0.000 0.000
2 Tc 0.667 0.333 0.320
3 Br 0.333 0.667 0.613

***

No. 3
The following is a PBE calculation of a relaxed LaHf2Rh4 crystal, from Alexandria.

Calculated values
- Symmetry: No. 139
- Formation enthalpy at 0 K: 0.3737 eV/atom
- Magnetization: 0.0 μB/f.u.
- E_tot: -51.62 eV per cell

a = 7.529 Å, b = 7.529 Å, c = 7.529 Å
α = 141.43°, β = 141.43°, γ = 55.69°
Atoms (fractional coordinates):
1 La 0.000 0.000 0.000
2 Hf 0.382 0.382 0.000
3 Hf 0.618 0.618 0.000
4 Rh 0.000 0.500 0.500
5 Rh 0.208 0.208 0.000
6 Rh 0.500 0.000 0.500
7 Rh 0.792 0.792 0.000

***

No. 4
The following is a PBE calculation of a relaxed Cu4ReRh crystal, from Alexandria.

Calculated values
- Symmetry: No. 216
- Formation enthalpy at 0 K: 0.2595 eV/atom
- Magnetization: 0.0 μB/f.u.
- E_tot: -34.63 eV per cell

a = 4.743 Å, b = 4.743 Å, c = 4.743 Å
α = 60.00°, β = 60.00°, γ = 60.00°
Atoms (fractional coordinates):
1 Cu 0.125 0.125 0.125
2 Cu 0.125 0.125 0.626
3 Cu 0.125 0.626 0.125
4 Cu 0.626 0.125 0.125
5 Re 0.750 0.750 0.750
6 Rh 0.500 0.500 0.500

***

No. 5
The following is a PBE calculation of a relaxed Zn2Tc2Pb crystal, from Alexandria.

Calculated values
- Symmetry: No. 127
- Formation enthalpy at 0 K: 0.3742 eV/atom
- Magnetization: 0.0 μB/f.u.
- E_tot: -50.23 eV per cell

a = 7.015 Å, b = 7.015 Å, c = 3.526 Å
α = 90.00°, β = 90.00°, γ = 90.00°
Atoms (fractional coordinates):
1 Zn 0.167 0.333 0.000
2 Zn 0.333 0.833 0.000
3 Zn 0.667 0.167 0.000
4 Zn 0.833 0.667 0.000
5 Tc 0.124 0.624 0.500
6 Tc 0.376 0.124 0.500
7 Tc 0.624 0.876 0.500
8 Tc 0.876 0.376 0.500
9 Pb 0.000 0.000 0.500
10 Pb 0.500 0.500 0.500

***

No. 6
The following is a PBE calculation of a relaxed Te2Mo2N crystal, from Alexandria.

Calculated values
- Symmetry: No. 139
- E_form (uncorrected): 4.894 eV per formula unit
- Magnetization: 2.4 μB/f.u.
- Energy above the most stable polymorph in this dataset: 0.00 kcal/mol of atoms
- E_tot: -31.38 eV per cell

a = 8.276 Å, b = 8.276 Å, c = 8.276 Å
α = 153.50°, β = 153.50°, γ = 37.83°
Atoms (fractional coordinates):
1 Te 0.120 0.120 0.000
2 Te 0.880 0.880 0.000
3 Mo 0.250 0.750 0.500
4 Mo 0.750 0.250 0.500
5 N 0.500 0.500 0.000